# 1
# PBE TmPu2Sc6, optimized geometry
data_TmPu2Sc6
_chemical_formula_sum 'Tm4 Pu8 Sc24'
_symmetry_space_group_name_H-M 'C 1 2/c 1'
_symmetry_Int_Tables_number 15
_cell_length_a 12.2971
_cell_length_b 10.9089
_cell_length_c 8.4503
_cell_angle_alpha 90.00
_cell_angle_beta 126.67
_cell_angle_gamma 90.00
loop_
_symmetry_equiv_pos_as_xyz
'x,y,z'
'-x,-y,-z'
'-x,y,-z+1/2'
'x,-y,z+1/2'
'x+1/2,y+1/2,z'
'-x+1/2,-y+1/2,-z'
'-x+1/2,y+1/2,-z+1/2'
'x+1/2,-y+1/2,z+1/2'
loop_
_atom_site_label
_atom_site_type_symbol
_atom_site_fract_x
_atom_site_fract_y
_atom_site_fract_z
Tm1 Tm 0.0000 0.1654 0.2500
Pu1 Pu 0.1824 0.4043 0.4296
Sc1 Sc 0.0444 0.3719 0.9688
Sc2 Sc 0.1046 0.0937 0.6909
Sc3 Sc 0.2322 0.1546 0.1433
# E_tot, eV per atom: -7.785
# Calculated formation energy, eV/atom: 0.118
# Volume, Å³/cell: 909.25
# Crystal system: monoclinic

# 2
# PBE OsBrF3, optimized geometry
data_OsBrF3
_chemical_formula_sum 'Os4 Br4 F12'
_symmetry_space_group_name_H-M 'C 1 2/m 1'
_symmetry_Int_Tables_number 12
_cell_length_a 7.5990
_cell_length_b 7.4592
_cell_length_c 6.9993
_cell_angle_alpha 90.00
_cell_angle_beta 91.15
_cell_angle_gamma 90.00
loop_
_symmetry_equiv_pos_as_xyz
'x,y,z'
'-x,-y,-z'
'-x,y,-z'
'x,-y,z'
'x+1/2,y+1/2,z'
'-x+1/2,-y+1/2,-z'
'-x+1/2,y+1/2,-z'
'x+1/2,-y+1/2,z'
loop_
_atom_site_label
_atom_site_type_symbol
_atom_site_fract_x
_atom_site_fract_y
_atom_site_fract_z
Os1 Os 0.9996 0.0000 0.2346
Br1 Br 0.0000 0.2184 0.5000
F1 F 0.0000 0.1723 0.0000
F2 F 0.2496 0.0000 0.2302
F3 F 0.2504 0.0000 0.7798
# E_tot, eV per atom: -4.924
# Volume, Å³/cell: 396.66
# Crystal system: monoclinic
# Formation energy without anion corrections, eV per atom: -1.220

# 3
# PBE Rb2MnOsI6, optimized geometry
data_Rb2MnOsI6
_chemical_formula_sum 'Rb4 Mn2 Os2 I12'
_symmetry_space_group_name_H-M 'I 4/m m m'
_symmetry_Int_Tables_number 139
_symmetry_space_group_name_Hall '-I 4 2'
_cell_length_a 8.0193
_cell_length_b 8.0193
_cell_length_c 11.3334
_cell_angle_alpha 90.00
_cell_angle_beta 90.00
_cell_angle_gamma 90.00
loop_
_atom_site_label
_atom_site_type_symbol
_atom_site_fract_x
_atom_site_fract_y
_atom_site_fract_z
Rb1 Rb 0.0000 0.5000 0.2500
Mn1 Mn 0.0000 0.0000 0.0000
Os1 Os 0.0000 0.0000 0.5000
I1 I 0.0000 0.0000 0.2575
I2 I 0.2425 0.2425 0.5000
# E_tot, eV per atom: -3.584
# Volume, Å³/cell: 728.84
# Crystal system: tetragonal
# Formation energy without anion corrections, eV per atom: -0.421

# 4
# PBE In5Hg7Bi, optimized geometry
data_In5Hg7Bi
_chemical_formula_sum 'In10 Hg14 Bi2'
_symmetry_space_group_name_H-M 'C 1 m 1'
_symmetry_Int_Tables_number 8
_cell_length_a 9.6634
_cell_length_b 9.4472
_cell_length_c 9.2918
_cell_angle_alpha 90.00
_cell_angle_beta 119.53
_cell_angle_gamma 90.00
loop_
_symmetry_equiv_pos_as_xyz
'x,y,z'
'x,-y,z'
'x+1/2,y+1/2,z'
'x+1/2,-y+1/2,z'
loop_
_atom_site_label
_atom_site_type_symbol
_atom_site_fract_x
_atom_site_fract_y
_atom_site_fract_z
In1 In 0.0000 0.0000 0.0000
In2 In 0.0426 0.2359 0.6547
In3 In 0.1357 0.2649 0.3215
Hg1 Hg 0.2515 0.3278 0.0725
Hg2 Hg 0.3503 0.0000 0.4876
Hg3 Hg 0.3689 0.0000 0.1594
Hg4 Hg 0.3873 0.1620 0.8575
Hg5 Hg 0.4791 0.5000 0.4052
Bi1 Bi 0.2607 0.5000 0.6117
# E_tot, eV per atom: -1.489
# Calculated formation energy, eV/atom: 0.025
# Volume, Å³/cell: 738.10
# Crystal system: monoclinic

# 5
# PBE LiNi3As2, optimized geometry
data_LiNi3As2
_chemical_formula_sum 'Li4 Ni12 As8'
_symmetry_space_group_name_H-M 'C 1 2/m 1'
_symmetry_Int_Tables_number 12
_cell_length_a 14.6549
_cell_length_b 3.7279
_cell_length_c 7.4541
_cell_angle_alpha 90.00
_cell_angle_beta 120.26
_cell_angle_gamma 90.00
loop_
_symmetry_equiv_pos_as_xyz
'x,y,z'
'-x,-y,-z'
'-x,y,-z'
'x,-y,z'
'x+1/2,y+1/2,z'
'-x+1/2,-y+1/2,-z'
'-x+1/2,y+1/2,-z'
'x+1/2,-y+1/2,z'
loop_
_atom_site_label
_atom_site_type_symbol
_atom_site_fract_x
_atom_site_fract_y
_atom_site_fract_z
Li1 Li 0.1632 0.0000 0.0129
Ni1 Ni 0.0398 0.0000 0.3816
Ni2 Ni 0.0984 0.5000 0.6695
Ni3 Ni 0.1811 0.5000 0.4448
As1 As 0.0057 0.5000 0.1763
As2 As 0.2057 0.0000 0.6911
# E_tot, eV per atom: -5.090
# Calculated formation energy, eV/atom: -0.331
# Volume, Å³/cell: 351.75
# Crystal system: monoclinic

# 6
# PBE Ac6InCo2, optimized geometry
data_Ac6InCo2
_chemical_formula_sum 'Ac24 In4 Co8'
_symmetry_space_group_name_H-M 'I m m m'
_symmetry_Int_Tables_number 71
_symmetry_space_group_name_Hall '-I 2 2'
_cell_length_a 10.1912
_cell_length_b 10.7972
_cell_length_c 10.9356
_cell_angle_alpha 90.00
_cell_angle_beta 90.00
_cell_angle_gamma 90.00
loop_
_atom_site_label
_atom_site_type_symbol
_atom_site_fract_x
_atom_site_fract_y
_atom_site_fract_z
Ac1 Ac 0.0000 0.2012 0.2306
Ac2 Ac 0.1822 0.5000 0.1729
Ac3 Ac 0.2100 0.3201 0.5000
In1 In 0.0000 0.0000 0.0000
In2 In 0.0000 0.0000 0.5000
Co1 Co 0.0000 0.3378 0.0000
Co2 Co 0.0000 0.5000 0.3938
# E_tot, eV per atom: -4.725
# Calculated formation energy, eV/atom: -0.102
# Volume, Å³/cell: 1203.32
# Crystal system: orthorhombic

# 7
# PBE UBiO2, optimized geometry
data_UBiO2
_chemical_formula_sum 'U3 Bi3 O6'
_symmetry_space_group_name_H-M 'R -3 m'
_symmetry_Int_Tables_number 166
_symmetry_space_group_name_Hall '-R 3 2"'
_cell_length_a 4.2299
_cell_length_b 4.2299
_cell_length_c 16.5033
_cell_angle_alpha 90.00
_cell_angle_beta 90.00
_cell_angle_gamma 120.00
loop_
_atom_site_label
_atom_site_type_symbol
_atom_site_fract_x
_atom_site_fract_y
_atom_site_fract_z
U1 U 0.0000 0.0000 0.0000
Bi1 Bi 0.0000 0.0000 0.5000
O1 O 0.0000 0.0000 0.1216
# E_tot, eV per atom: -7.512
# Volume, Å³/cell: 255.72
# Crystal system: trigonal
# Formation energy without anion corrections, eV per atom: -1.241

# 8
# PBE HoZr3Sc, optimized geometry
data_HoZr3Sc
_chemical_formula_sum 'Ho4 Zr12 Sc4'
_symmetry_space_group_name_H-M 'C m c m'
_symmetry_Int_Tables_number 63
_symmetry_space_group_name_Hall '-C 2c 2'
_cell_length_a 5.2799
_cell_length_b 15.2640
_cell_length_c 6.2949
_cell_angle_alpha 90.00
_cell_angle_beta 90.00
_cell_angle_gamma 90.00
loop_
_atom_site_label
_atom_site_type_symbol
_atom_site_fract_x
_atom_site_fract_y
_atom_site_fract_z
Ho1 Ho 0.0000 0.0086 0.2500
Zr1 Zr 0.0000 0.1963 0.0035
Zr2 Zr 0.0000 0.3714 0.7500
Sc1 Sc 0.0000 0.3821 0.2500
# E_tot, eV per atom: -7.184
# Calculated formation energy, eV/atom: 0.127
# Volume, Å³/cell: 507.32
# Crystal system: orthorhombic

# 9
# PBE Sb3S3N, optimized geometry
data_Sb3S3N
_chemical_formula_sum 'Sb6 S6 N2'
_symmetry_space_group_name_H-M 'P 63/m'
_symmetry_Int_Tables_number 176
_symmetry_space_group_name_Hall '-P 6c'
_cell_length_a 8.6645
_cell_length_b 8.6645
_cell_length_c 5.5735
_cell_angle_alpha 90.00
_cell_angle_beta 90.00
_cell_angle_gamma 120.00
loop_
_atom_site_label
_atom_site_type_symbol
_atom_site_fract_x
_atom_site_fract_y
_atom_site_fract_z
Sb1 Sb 0.1035 0.6830 0.2500
S1 S 0.0485 0.6699 0.7500
N1 N 0.3333 0.6667 0.2500
# E_tot, eV per atom: -4.819
# Volume, Å³/cell: 362.37
# Crystal system: hexagonal
# Formation energy without anion corrections, eV per atom: -0.094

# 10
# PBE BeTlGaHg2, optimized geometry
data_BeTlGaHg2
_chemical_formula_sum 'Be1 Tl1 Ga1 Hg2'
_symmetry_space_group_name_H-M 'P 4/m m m'
_symmetry_Int_Tables_number 123
_symmetry_space_group_name_Hall '-P 4 2'
_cell_length_a 5.0356
_cell_length_b 5.0356
_cell_length_c 4.5519
_cell_angle_alpha 90.00
_cell_angle_beta 90.00
_cell_angle_gamma 90.00
loop_
_atom_site_label
_atom_site_type_symbol
_atom_site_fract_x
_atom_site_fract_y
_atom_site_fract_z
Be1 Be 0.0000 0.0000 0.0000
Tl1 Tl 0.5000 0.5000 0.5000
Ga1 Ga 0.0000 0.0000 0.5000
Hg1 Hg 0.0000 0.5000 0.0000
# E_tot, eV per atom: -1.761
# Calculated formation energy, eV/atom: 0.184
# Volume, Å³/cell: 115.42
# Crystal system: tetragonal

# 11
# PBE CaLa3Sn12, optimized geometry
data_CaLa3Sn12
_chemical_formula_sum 'Ca1 La3 Sn12'
_symmetry_space_group_name_H-M 'P 4/m m m'
_symmetry_Int_Tables_number 123
_symmetry_space_group_name_Hall '-P 4 2'
_cell_length_a 4.7780
_cell_length_b 4.7780
_cell_length_c 19.3114
_cell_angle_alpha 90.00
_cell_angle_beta 90.00
_cell_angle_gamma 90.00
loop_
_atom_site_label
_atom_site_type_symbol
_atom_site_fract_x
_atom_site_fract_y
_atom_site_fract_z
Ca1 Ca 0.0000 0.0000 0.0000
La1 La 0.0000 0.0000 0.2502
La2 La 0.0000 0.0000 0.5000
Sn1 Sn 0.0000 0.5000 0.1222
Sn2 Sn 0.0000 0.5000 0.3746
Sn3 Sn 0.5000 0.5000 0.0000
Sn4 Sn 0.5000 0.5000 0.2483
Sn5 Sn 0.5000 0.5000 0.5000
# E_tot, eV per atom: -4.583
# Calculated formation energy, eV/atom: -0.532
# Volume, Å³/cell: 440.87
# Crystal system: tetragonal

# 12
# PBE Zr7TlHg4, optimized geometry
data_Zr7TlHg4
_chemical_formula_sum 'Zr14 Tl2 Hg8'
_symmetry_space_group_name_H-M 'C 1 2/m 1'
_symmetry_Int_Tables_number 12
_cell_length_a 12.1524
_cell_length_b 5.4638
_cell_length_c 10.6365
_cell_angle_alpha 90.00
_cell_angle_beta 124.36
_cell_angle_gamma 90.00
loop_
_symmetry_equiv_pos_as_xyz
'x,y,z'
'-x,-y,-z'
'-x,y,-z'
'x,-y,z'
'x+1/2,y+1/2,z'
'-x+1/2,-y+1/2,-z'
'-x+1/2,y+1/2,-z'
'x+1/2,-y+1/2,z'
loop_
_atom_site_label
_atom_site_type_symbol
_atom_site_fract_x
_atom_site_fract_y
_atom_site_fract_z
Zr1 Zr 0.0000 0.0000 0.0000
Zr2 Zr 0.0730 0.5000 0.3241
Zr3 Zr 0.1494 0.0000 0.5681
Zr4 Zr 0.2067 0.5000 0.8835
Tl1 Tl 0.0000 0.5000 0.0000
Hg1 Hg 0.0746 0.0000 0.7780
Hg2 Hg 0.2216 0.0000 0.3364
# E_tot, eV per atom: -5.077
# Calculated formation energy, eV/atom: 0.208
# Volume, Å³/cell: 582.99
# Crystal system: monoclinic